1.
! HgPt8 GGA-PBE optimized geometry; values from VASP
! energy of formation	44	meV/atom
&SYSTEM
  ibrav = 0, nat = 9, ntyp = 2
/
ATOMIC_SPECIES
Hg 200.59 Hg.upf
Pt 195.08 Pt.upf
CELL_PARAMETERS angstrom
-3.367 -2.630 6.071
1.168 4.304 -5.935
-2.703 -5.496 -4.195
ATOMIC_POSITIONS crystal
Hg 0.000 0.000 0.000
Pt 0.333 0.000 0.333
Pt 0.667 0.000 0.667
Pt 0.000 0.667 0.667
Pt 0.331 0.669 0.000
Pt 0.669 0.669 0.338
Pt 0.000 0.333 0.333
Pt 0.331 0.331 0.662
Pt 0.669 0.331 0.000

---

2.
! LaTaRe2 GGA-PBE optimized geometry; values from VASP
! energy of formation	405	meV/atom
! E above lowest polymorph	0.182	eV per atom
&SYSTEM
  ibrav = 0, nat = 4, ntyp = 3
/
ATOMIC_SPECIES
La 138.91 La.upf
Re 186.21 Re.upf
Ta 180.95 Ta.upf
CELL_PARAMETERS angstrom
-2.966 -2.094 -2.098
-0.176 -1.966 2.211
-4.772 2.700 4.051
ATOMIC_POSITIONS crystal
La 0.500 0.763 0.767
Re 0.000 0.986 0.072
Re 0.500 0.248 0.233
Ta 0.000 0.504 0.427

---

3.
! Tb3NdTe2 GGA-PBE optimized geometry; values from VASP
! E_form (uncorrected)	-0.82	eV per atom
&SYSTEM
  ibrav = 0, nat = 12, ntyp = 3
/
ATOMIC_SPECIES
Tb 158.93 Tb.upf
Nd 144.24 Nd.upf
Te 127.60 Te.upf
CELL_PARAMETERS angstrom
-3.751 1.252 0.155
-1.039 -10.001 5.078
3.324 9.463 4.038
ATOMIC_POSITIONS crystal
Tb 0.308 0.617 0.483
Tb 0.950 0.901 0.556
Tb 0.633 0.267 0.806
Tb 0.367 0.733 0.194
Tb 0.050 0.099 0.444
Tb 0.692 0.383 0.517
Nd 0.889 0.778 0.884
Nd 0.111 0.222 0.116
Te 0.486 0.972 0.819
Te 0.514 0.028 0.181
Te 0.750 0.500 0.187
Te 0.250 0.500 0.813